22
Lattice="6.421 0.000 0.000 0.000 5.372 -0.044 0.000 0.395 9.501" Properties=species:S:1:pos:R:3 comment="NaMnAsCO7 GGA+U optimized geometry" m_tot_mub_per_cell=5.891 dft_energy_ev_per_atom=-6.60 vol_a3_per_fu=163.9 pbc="T T T"
C 4.842 1.980 8.596
O 1.673 3.430 4.946
Na 3.057 4.521 7.469
As 4.809 4.026 4.134
O 4.794 2.862 7.600
O 1.583 2.904 1.857
O 4.755 4.918 5.588
Mn 4.844 1.421 6.238
O 4.884 2.337 4.511
O 1.545 0.849 3.869
O 1.708 3.887 9.169
O 2.907 1.345 6.373
O 4.919 1.879 0.288
C 1.632 3.786 0.861
O 4.811 0.748 8.108
O 6.118 4.421 3.084
O 0.315 1.372 6.403
Na 6.268 1.245 1.988
O 3.526 4.394 3.054
O 1.600 5.018 1.349
As 1.598 1.740 5.324
Mn 1.633 4.346 3.220